Entry from Alexandria: a geometry-optimized Er7IrI12 structure (GGA-PBEsol).

The space group is R-3 (No. 148, hexagonal axes) and the conventional cell measures 15.2197, 15.2197 and 10.6173 Å, with angles of 90.00, 90.00 and 120.00 degrees. The asymmetric unit holds Er at (0.0000, 0.0000, 0.0000), Er at (0.0436, 0.8839, 0.3606), Ir at (0.0000, 0.0000, 0.5000), I at (0.0154, 0.4284, 0.1572) and I at (0.0494, 0.8704, 0.8392).

Its volume is 2129.9 Å³/cell. Its formation energy from raw total energies is -1.245 eV per atom.